ZrTi2Br: optimized geometry, PBE-GGA.

## Properties
Calculated total energy, eV/atom: -6.05
DOS at the Fermi energy, states/eV/cell: 6.53
Space-group type: Fm-3m, No. 225
Formation energy without anion corrections, eV/atom: 0.45
Distance to the lowest polymorph of the same formula, meV per atom: 200

Unit cell a=4.737 b=4.737 c=4.737 alpha=60.00 beta=60.00 gamma=60.00
Positions (direct):
Zr 0.000 0.000 0.000
Ti 0.250 0.250 0.250
Ti 0.750 0.750 0.750
Br 0.500 0.500 0.500